[1]
Below is TlCuS2Cl after structural relaxation, with properties calculated at the PBE level.

Summary:
The calculated volume is 127 Å³/cell. As for the density of states at the Fermi level: 6.9 states/eV per cell. For the uncorrected formation energy, the calculation gives 16 meV per atom.

abc: 4.4191 4.4191 6.5123
angles: 90.00 90.00 90.00
Sites, in units of the cell vectors:
Tl: 0.0000 0.0000 0.0000
Cu: 0.5000 0.5000 0.5000
S: 0.0000 0.5000 0.5000
S: 0.5000 0.0000 0.5000
Cl: 0.5000 0.5000 0.0000

***

[2]
Below is Sm2Dy2Ru3 after structural relaxation, with properties calculated at the PBE level.

Summary:
Its formation energy from the elements is -0.259 eV/atom. The calculated volume is 161 Å³/cell. As for the density of states at the Fermi level: 4.9 states/eV per cell.

abc: 4.7827 4.8880 7.6679
angles: 71.64 71.94 89.98
Sites, in units of the cell vectors:
Sm: 0.1259 0.1265 0.2497
Sm: 0.8741 0.8735 0.7503
Dy: 0.3723 0.3716 0.7540
Dy: 0.6277 0.6284 0.2460
Ru: 0.0000 0.5000 0.5000
Ru: 0.2490 0.7490 0.0022
Ru: 0.7510 0.2510 0.9978

***

[3]
Below is AcTlSnGe after structural relaxation, with properties calculated at the PBE level.

Summary:
Its formation energy from the elements is -0.183 eV/atom. The calculated volume is 466 Å³/cell. As for the density of states at the Fermi level: 13.5 states/eV per cell.

abc: 7.7529 7.7529 7.7529
angles: 90.00 90.00 90.00
Sites, in units of the cell vectors:
Ac: 0.0000 0.0000 0.0000
Ac: 0.0000 0.5000 0.5000
Ac: 0.5000 0.0000 0.5000
Ac: 0.5000 0.5000 0.0000
Tl: 0.2500 0.2500 0.2500
Tl: 0.2500 0.7500 0.7500
Tl: 0.7500 0.2500 0.7500
Tl: 0.7500 0.7500 0.2500
Sn: 0.0000 0.0000 0.5000
Sn: 0.0000 0.5000 0.0000
Sn: 0.5000 0.0000 0.0000
Sn: 0.5000 0.5000 0.5000
Ge: 0.2500 0.2500 0.7500
Ge: 0.2500 0.7500 0.2500
Ge: 0.7500 0.2500 0.2500
Ge: 0.7500 0.7500 0.7500

***

[4]
Below is CrCd2Se after structural relaxation, with properties calculated at the PBE level.

Summary:
The calculated volume is 176 Å³/cell. As for the density of states at the Fermi level: 2.3 states/eV per cell. For the uncorrected formation energy, the calculation gives 53 meV per atom.

abc: 3.4852 4.1360 12.2085
angles: 90.00 90.00 90.00
Sites, in units of the cell vectors:
Cr: 0.0000 0.0000 0.0000
Cr: 0.0000 0.5000 0.5000
Cd: 0.0000 0.0000 0.2353
Cd: 0.0000 0.5000 0.7353
Cd: 0.5000 0.0000 0.5908
Cd: 0.5000 0.5000 0.0908
Se: 0.5000 0.0000 0.8570
Se: 0.5000 0.5000 0.3570

***

[5]
Below is PmMnHgAu after structural relaxation, with properties calculated at the PBE level.

Summary:
Its formation energy from the elements is -0.240 eV/atom. The calculated volume is 356 Å³/cell. As for the density of states at the Fermi level: 15.9 states/eV per cell.

abc: 7.0905 7.0905 7.0905
angles: 90.00 90.00 90.00
Sites, in units of the cell vectors:
Pm: 0.0000 0.0000 0.0000
Pm: 0.0000 0.5000 0.5000
Pm: 0.5000 0.0000 0.5000
Pm: 0.5000 0.5000 0.0000
Mn: 0.0000 0.0000 0.5000
Mn: 0.0000 0.5000 0.0000
Mn: 0.5000 0.0000 0.0000
Mn: 0.5000 0.5000 0.5000
Hg: 0.2500 0.2500 0.2500
Hg: 0.2500 0.7500 0.7500
Hg: 0.7500 0.2500 0.7500
Hg: 0.7500 0.7500 0.2500
Au: 0.2500 0.2500 0.7500
Au: 0.2500 0.7500 0.2500
Au: 0.7500 0.2500 0.2500
Au: 0.7500 0.7500 0.7500

***

[6]
Below is HfRe3Hg after structural relaxation, with properties calculated at the PBE level.

Summary:
Its formation energy from the elements is 2.793 eV/atom. The calculated volume is 113 Å³/cell. As for the density of states at the Fermi level: 10.2 states/eV per cell.

abc: 4.8335 4.8335 4.8335
angles: 90.00 90.00 90.00
Sites, in units of the cell vectors:
Hf: 0.0000 0.0000 0.0000
Re: 0.0000 0.5000 0.5000
Re: 0.5000 0.0000 0.5000
Re: 0.5000 0.5000 0.0000
Hg: 0.5000 0.5000 0.5000

***

[7]
Below is Fe5Co after structural relaxation, with properties calculated at the PBE level.

Summary:
Its formation energy from the elements is 0.082 eV/atom. The calculated volume is 127 Å³/cell. As for the density of states at the Fermi level: 13.7 states/eV per cell.

abc: 3.9604 2.4528 13.0664
angles: 90.00 90.00 90.00
Sites, in units of the cell vectors:
Fe: 0.0000 0.0000 0.0000
Fe: 0.0000 0.0000 0.3322
Fe: 0.0000 0.0000 0.6666
Fe: 0.0000 0.5000 0.1666
Fe: 0.0000 0.5000 0.5000
Fe: 0.0000 0.5000 0.8322
Fe: 0.5000 0.0000 0.2249
Fe: 0.5000 0.0000 0.5583
Fe: 0.5000 0.5000 0.0583
Fe: 0.5000 0.5000 0.7249
Co: 0.5000 0.0000 0.8908
Co: 0.5000 0.5000 0.3908

***

[8]
Below is LiTa2Te4Br10O after structural relaxation, with properties calculated at the PBE level.

Summary:
The calculated volume is 658 Å³/cell. As for the density of states at the Fermi level: 1.7 states/eV per cell. For the uncorrected formation energy, the calculation gives -868 meV per atom.

abc: 7.9878 8.5265 9.9804
angles: 94.38 91.85 103.61
Sites, in units of the cell vectors:
Li: 0.0000 0.0000 0.0000
Ta: 0.8732 0.4776 0.1292
Ta: 0.9042 0.2048 0.4079
Te: 0.1980 0.7411 0.6255
Te: 0.2806 0.0371 0.7806
Te: 0.4623 0.6479 0.7580
Te: 0.5400 0.9359 0.9183
Br: 0.0721 0.0408 0.2543
Br: 0.1753 0.6362 0.1709
Br: 0.2094 0.3801 0.4844
Br: 0.5662 0.3219 0.0447
Br: 0.6183 0.0291 0.3313
Br: 0.7445 0.6441 0.2891
Br: 0.7806 0.3812 0.5645
Br: 0.8484 0.6920 0.9392
Br: 0.9264 0.0076 0.5912
Br: 0.9762 0.2938 0.9428
O: 0.8938 0.3355 0.2600

***

[9]
Below is HfZnCo2Re after structural relaxation, with properties calculated at the PBE level.

Summary:
Its formation energy from the elements is 1.750 eV/atom. The calculated volume is 98 Å³/cell. As for the density of states at the Fermi level: 7.8 states/eV per cell.

abc: 4.5008 4.5008 4.8575
angles: 90.00 90.00 90.00
Sites, in units of the cell vectors:
Hf: 0.0000 0.0000 0.0000
Zn: 0.5000 0.5000 0.5000
Co: 0.0000 0.5000 0.0000
Co: 0.5000 0.0000 0.0000
Re: 0.0000 0.0000 0.5000

***

[10]
Below is In2NiPb2 after structural relaxation, with properties calculated at the PBE level.

Summary:
Its formation energy from the elements is 0.164 eV/atom. The calculated volume is 260 Å³/cell. As for the density of states at the Fermi level: 3.0 states/eV per cell.

abc: 6.9053 6.9053 5.4487
angles: 90.00 90.00 90.00
Sites, in units of the cell vectors:
In: 0.1612 0.3388 0.0000
In: 0.3388 0.8388 0.0000
In: 0.6612 0.1612 0.0000
In: 0.8388 0.6612 0.0000
Ni: 0.0000 0.0000 0.0000
Ni: 0.5000 0.5000 0.0000
Pb: 0.1733 0.6733 0.5000
Pb: 0.3267 0.1733 0.5000
Pb: 0.6733 0.8267 0.5000
Pb: 0.8267 0.3267 0.5000

***

[11]
Below is SeN3Cl after structural relaxation, with properties calculated at the PBE level.

Summary:
The calculated volume is 66 Å³/cell. As for the density of states at the Fermi level: 2.7 states/eV per cell. For the uncorrected formation energy, the calculation gives 2468 meV per atom.

abc: 4.0424 4.0424 4.0424
angles: 90.00 90.00 90.00
Sites, in units of the cell vectors:
Se: 0.0000 0.0000 0.0000
N: 0.0000 0.0000 0.5000
N: 0.0000 0.5000 0.0000
N: 0.5000 0.0000 0.0000
Cl: 0.5000 0.5000 0.5000

***

[12]
Below is KYMg14 after structural relaxation, with properties calculated at the PBE level.

Summary:
Its formation energy from the elements is 0.103 eV/atom. The calculated volume is 404 Å³/cell. As for the density of states at the Fermi level: 7.6 states/eV per cell.

abc: 10.6117 6.6814 6.6814
angles: 58.52 90.00 90.00
Sites, in units of the cell vectors:
K: 0.0000 0.0000 0.0000
Y: 0.0000 0.4911 0.4911
Mg: 0.0000 0.5029 0.9946
Mg: 0.0000 0.9946 0.5029
Mg: 0.2494 0.6578 0.6578
Mg: 0.2579 0.1651 0.1651
Mg: 0.2614 0.1604 0.6524
Mg: 0.2614 0.6524 0.1604
Mg: 0.5000 0.4972 0.4972
Mg: 0.5000 0.4974 0.9916
Mg: 0.5000 0.9916 0.4974
Mg: 0.5000 0.9966 0.9966
Mg: 0.7386 0.1604 0.6524
Mg: 0.7386 0.6524 0.1604
Mg: 0.7421 0.1651 0.1651
Mg: 0.7506 0.6578 0.6578

***

[13]
Below is MnAl3 after structural relaxation, with properties calculated at the PBE level.

Summary:
Its formation energy from the elements is -0.100 eV/atom. The calculated volume is 117 Å³/cell. As for the density of states at the Fermi level: 5.8 states/eV per cell.

abc: 5.2855 7.8742 2.8146
angles: 90.00 90.00 90.00
Sites, in units of the cell vectors:
Mn: 0.0000 0.0000 0.0000
Mn: 0.5000 0.5000 0.0000
Al: 0.0000 0.5000 0.0000
Al: 0.2500 0.2500 0.5000
Al: 0.2500 0.7500 0.5000
Al: 0.5000 0.0000 0.0000
Al: 0.7500 0.2500 0.5000
Al: 0.7500 0.7500 0.5000

***

[14]
Below is TbCeTl after structural relaxation, with properties calculated at the PBE level.

Summary:
Its formation energy from the elements is 0.040 eV/atom. The calculated volume is 82 Å³/cell. As for the density of states at the Fermi level: 6.7 states/eV per cell.

abc: 5.3951 5.3951 3.2719
angles: 90.00 90.00 120.00
Sites, in units of the cell vectors:
Tb: 0.0000 0.0000 0.0000
Ce: 0.3333 0.6667 0.9971
Tl: 0.6667 0.3333 0.4969

***

[15]
Below is Ba2ZnIn12Ni3 after structural relaxation, with properties calculated at the PBE level.

Summary:
Its formation energy from the elements is -0.039 eV/atom. The calculated volume is 543 Å³/cell. As for the density of states at the Fermi level: 9.5 states/eV per cell.

abc: 8.7512 8.7512 8.7512
angles: 66.79 66.79 66.79
Sites, in units of the cell vectors:
Ba: 0.1015 0.1015 0.1015
Ba: 0.8985 0.8985 0.8985
Zn: 0.5000 0.5000 0.5000
In: 0.1305 0.6236 0.6236
In: 0.2194 0.2194 0.5823
In: 0.2194 0.5823 0.2194
In: 0.3764 0.3764 0.8695
In: 0.3764 0.8695 0.3764
In: 0.4177 0.7806 0.7806
In: 0.5823 0.2194 0.2194
In: 0.6236 0.1305 0.6236
In: 0.6236 0.6236 0.1305
In: 0.7806 0.4177 0.7806
In: 0.7806 0.7806 0.4177
In: 0.8695 0.3764 0.3764
Ni: 0.0000 0.5000 0.5000
Ni: 0.5000 0.0000 0.5000
Ni: 0.5000 0.5000 0.0000

***

[16]
Below is Cs5Pm2Cl12 after structural relaxation, with properties calculated at the PBE level.

Summary:
The calculated volume is 846 Å³/cell. As for the density of states at the Fermi level: 4.8 states/eV per cell. For the uncorrected formation energy, the calculation gives -1972 meV per atom.

abc: 10.3685 10.3685 11.2766
angles: 106.34 106.34 47.18
Sites, in units of the cell vectors:
Cs: 0.0000 0.0000 0.0000
Cs: 0.2951 0.2951 0.1407
Cs: 0.3031 0.3031 0.6578
Cs: 0.6969 0.6969 0.3422
Cs: 0.7049 0.7049 0.8593
Pm: 0.2492 0.7508 0.5000
Pm: 0.7508 0.2492 0.5000
Cl: 0.0012 0.0012 0.6639
Cl: 0.1118 0.5931 0.4276
Cl: 0.1303 0.5755 0.9273
Cl: 0.4069 0.8882 0.5724
Cl: 0.4245 0.8697 0.0727
Cl: 0.4983 0.4983 0.3352
Cl: 0.5017 0.5017 0.6648
Cl: 0.5755 0.1303 0.9273
Cl: 0.5931 0.1118 0.4276
Cl: 0.8697 0.4245 0.0727
Cl: 0.8882 0.4069 0.5724
Cl: 0.9988 0.9988 0.3361

***

[17]
Below is LaTaPd2C after structural relaxation, with properties calculated at the PBE level.

Summary:
Its formation energy from the elements is 0.534 eV/atom. The calculated volume is 88 Å³/cell. As for the density of states at the Fermi level: 3.5 states/eV per cell.

abc: 4.2190 4.2190 4.9602
angles: 90.00 90.00 90.00
Sites, in units of the cell vectors:
La: 0.0000 0.0000 0.0000
Ta: 0.5000 0.5000 0.0000
Pd: 0.0000 0.5000 0.5000
Pd: 0.5000 0.0000 0.5000
C: 0.0000 0.0000 0.5000

***

[18]
Below is SiBOs2Au after structural relaxation, with properties calculated at the PBE level.

Summary:
The calculated volume is 91 Å³/cell. As for the density of states at the Fermi level: 4.8 states/eV per cell. For the uncorrected formation energy, the calculation gives 2033 meV per atom.

abc: 4.4652 4.4652 4.5749
angles: 90.00 90.00 90.00
Sites, in units of the cell vectors:
Si: 0.0000 0.0000 0.0000
B: 0.5000 0.5000 0.5000
Os: 0.0000 0.5000 0.0000
Os: 0.5000 0.0000 0.0000
Au: 0.0000 0.0000 0.5000

***

[19]
Below is Mn3FeW after structural relaxation, with properties calculated at the PBE level.

Summary:
Its formation energy from the elements is 1.645 eV/atom. The calculated volume is 94 Å³/cell. As for the density of states at the Fermi level: 8.4 states/eV per cell.

abc: 4.5431 4.5431 4.5431
angles: 90.00 90.00 90.00
Sites, in units of the cell vectors:
Mn: 0.0000 0.0000 0.5000
Mn: 0.0000 0.5000 0.0000
Mn: 0.5000 0.0000 0.0000
Fe: 0.5000 0.5000 0.5000
W: 0.0000 0.0000 0.0000

***

[20]
Below is Nd6YHo2Mg after structural relaxation, with properties calculated at the PBE level.

Summary:
Its formation energy from the elements is 0.115 eV/atom. The calculated volume is 666 Å³/cell. As for the density of states at the Fermi level: 27.0 states/eV per cell.

abc: 9.0141 9.0141 9.3157
angles: 92.38 92.38 117.96
Sites, in units of the cell vectors:
Nd: 0.0061 0.4350 0.7985
Nd: 0.1338 0.7799 0.5517
Nd: 0.2201 0.8662 0.9483
Nd: 0.2811 0.5018 0.3949
Nd: 0.4350 0.0061 0.2985
Nd: 0.4982 0.7189 0.1051
Nd: 0.5018 0.2811 0.8949
Nd: 0.5650 0.9939 0.7015
Nd: 0.7189 0.4982 0.6051
Nd: 0.7799 0.1338 0.0517
Nd: 0.8662 0.2201 0.4483
Nd: 0.9939 0.5650 0.2015
Y: 0.0252 0.9748 0.2500
Y: 0.9748 0.0252 0.7500
Ho: 0.2075 0.3155 0.0498
Ho: 0.3155 0.2075 0.5498
Ho: 0.6845 0.7925 0.4502
Ho: 0.7925 0.6845 0.9502
Mg: 0.4210 0.5790 0.7500
Mg: 0.5790 0.4210 0.2500

***

[21]
Below is Pr6Hg2Os after structural relaxation, with properties calculated at the PBE level.

Summary:
Its formation energy from the elements is -0.184 eV/atom. The calculated volume is 595 Å³/cell. As for the density of states at the Fermi level: 19.3 states/eV per cell.

abc: 7.2389 7.6900 12.8537
angles: 90.00 123.78 90.00
Sites, in units of the cell vectors:
Pr: 0.1311 0.1928 0.4474
Pr: 0.1311 0.3072 0.9474
Pr: 0.2558 0.6893 0.4456
Pr: 0.2558 0.8107 0.9456
Pr: 0.3636 0.0124 0.2482
Pr: 0.3636 0.4876 0.7482
Pr: 0.6364 0.5124 0.2518
Pr: 0.6364 0.9876 0.7518
Pr: 0.7442 0.1893 0.0544
Pr: 0.7442 0.3107 0.5544
Pr: 0.8689 0.6928 0.0526
Pr: 0.8689 0.8072 0.5526
Hg: 0.2064 0.0945 0.7466
Hg: 0.2064 0.4055 0.2466
Hg: 0.7936 0.5945 0.7534
Hg: 0.7936 0.9055 0.2534
Os: 0.5000 0.0000 0.5000
Os: 0.5000 0.5000 0.0000

***

[22]
Below is Tl3SnPb2Se6 after structural relaxation, with properties calculated at the PBE level.

Summary:
The calculated volume is 354 Å³/cell. As for the density of states at the Fermi level: 7.4 states/eV per cell. For the uncorrected formation energy, the calculation gives -411 meV per atom.

abc: 7.4898 7.4898 7.7301
angles: 99.73 99.73 119.80
Sites, in units of the cell vectors:
Tl: 0.0000 0.0000 0.0000
Tl: 0.3266 0.6734 0.0000
Tl: 0.6734 0.3266 0.0000
Sn: 0.5000 0.5000 0.5000
Pb: 0.1634 0.8366 0.5000
Pb: 0.8366 0.1634 0.5000
Se: 0.1218 0.4254 0.2815
Se: 0.2752 0.2752 0.7319
Se: 0.4254 0.1218 0.2815
Se: 0.5746 0.8782 0.7185
Se: 0.7248 0.7248 0.2681
Se: 0.8782 0.5746 0.7185

***

[23]
Below is Ca2Ag9Pb after structural relaxation, with properties calculated at the PBE level.

Summary:
Its formation energy from the elements is -0.121 eV/atom. The calculated volume is 261 Å³/cell. As for the density of states at the Fermi level: 3.5 states/eV per cell.

abc: 9.8574 9.8574 9.8574
angles: 33.59 33.59 33.59
Sites, in units of the cell vectors:
Ca: 0.1359 0.1359 0.1359
Ca: 0.8641 0.8641 0.8641
Ag: 0.0803 0.5867 0.5867
Ag: 0.3334 0.3334 0.3334
Ag: 0.4133 0.4133 0.9197
Ag: 0.4133 0.9197 0.4133
Ag: 0.5000 0.5000 0.5000
Ag: 0.5867 0.0803 0.5867
Ag: 0.5867 0.5867 0.0803
Ag: 0.6666 0.6666 0.6666
Ag: 0.9197 0.4133 0.4133
Pb: 0.0000 0.0000 0.0000